No. 1
Computed, not measured: a geometry-optimized La5Pr2DyY structure at the GGA-PBE level of DFT. Values from VASP.

Values from the calculation:
V   655 Å³/cell
Space-group type   No. 140
DFT formation energy   0.26 eV/atom
Total moment   0.000 μB/cell
DOS(E_F)   32.3 states/eV per cell
Total DFT energy (no corrections)   -4.770 eV per atom

Structure (Quantum ESPRESSO input):
```
&SYSTEM
  ibrav = 0, nat = 18, ntyp = 4
/
ATOMIC_SPECIES
La 138.91 La.upf
Pr 140.91 Pr.upf
Dy 162.50 Dy.upf
Y 88.91 Y.upf
ATOMIC_POSITIONS crystal
La 0.864 0.924 0.288
La 0.136 0.076 0.712
La 0.424 0.364 0.288
La 0.576 0.636 0.712
La 0.000 0.000 0.000
La 0.364 0.864 0.288
La 0.924 0.424 0.288
La 0.076 0.576 0.712
La 0.500 0.500 0.000
La 0.636 0.136 0.712
Pr 0.377 0.877 0.000
Pr 0.123 0.377 0.000
Pr 0.623 0.123 0.000
Pr 0.877 0.623 0.000
Dy 0.250 0.250 0.500
Dy 0.750 0.750 0.500
Y 0.250 0.750 0.500
Y 0.750 0.250 0.500
CELL_PARAMETERS angstrom
8.734 0.000 0.000
0.000 8.734 0.000
-4.367 -4.367 8.581
```

No. 2
Computed, not measured: a geometry-optimized La2MgCo9 structure at the GGA-PBE level of DFT. Values from VASP.

Values from the calculation:
V   177 Å³/cell
Space-group type   No. 166
DFT formation energy   0.03 eV/atom
Total moment   10.842 μB/cell
DOS(E_F)   17.4 states/eV per cell
Total DFT energy (no corrections)   -6.253 eV per atom

Structure (Quantum ESPRESSO input):
```
&SYSTEM
  ibrav = 0, nat = 12, ntyp = 3
/
ATOMIC_SPECIES
Co 58.93 Co.upf
La 138.91 La.upf
Mg 24.30 Mg.upf
ATOMIC_POSITIONS crystal
Co 0.333 0.333 0.001
Co 0.667 0.667 0.999
Co 0.425 0.425 0.230
Co 0.575 0.080 0.770
Co 0.080 0.575 0.770
Co 0.575 0.575 0.770
Co 0.425 0.920 0.230
Co 0.920 0.425 0.230
Co 0.500 0.500 0.500
La 0.138 0.138 0.587
La 0.862 0.862 0.413
Mg 0.000 0.000 0.000
CELL_PARAMETERS angstrom
-2.340 -2.687 3.404
2.521 -3.198 2.774
1.435 4.075 7.770
```

No. 3
Computed, not measured: a geometry-optimized Nd2AlGaO6 structure at the GGA-PBE level of DFT. Values from VASP.

Values from the calculation:
V   229 Å³/cell
Raw formation energy   -2.938 eV/atom
Space-group type   No. 14
Total moment   0.000 μB/cell
DOS(E_F)   0.0 states/eV per cell
Total DFT energy (no corrections)   -7.543 eV per atom

Structure (Quantum ESPRESSO input):
```
&SYSTEM
  ibrav = 0, nat = 20, ntyp = 4
/
ATOMIC_SPECIES
O 16.00 O.upf
Nd 144.24 Nd.upf
Al 26.98 Al.upf
Ga 69.72 Ga.upf
ATOMIC_POSITIONS crystal
O 0.576 0.015 0.245
O 0.787 0.778 0.541
O 0.223 0.212 0.040
O 0.277 0.712 0.460
O 0.924 0.515 0.255
O 0.213 0.222 0.459
O 0.076 0.485 0.745
O 0.723 0.288 0.540
O 0.713 0.278 0.959
O 0.424 0.985 0.755
O 0.777 0.788 0.960
O 0.287 0.722 0.041
Nd 0.009 0.962 0.250
Nd 0.991 0.038 0.750
Nd 0.509 0.538 0.750
Nd 0.491 0.462 0.250
Al 0.500 0.000 0.000
Al 0.000 0.500 0.500
Ga 0.000 0.500 0.000
Ga 0.500 0.000 0.500
CELL_PARAMETERS angstrom
5.432 0.000 -0.013
0.000 5.470 0.000
0.030 0.000 7.702
```

No. 4
Computed, not measured: a geometry-optimized LiZnTe2 structure at the GGA-PBE level of DFT. Values from VASP.

Values from the calculation:
V   97 Å³/cell
Raw formation energy   -0.398 eV/atom
Space-group type   No. 12
Total moment   0.000 μB/cell
DOS(E_F)   1.1 states/eV per cell
Total DFT energy (no corrections)   -2.766 eV per atom

Structure (Quantum ESPRESSO input):
```
&SYSTEM
  ibrav = 0, nat = 4, ntyp = 3
/
ATOMIC_SPECIES
Li 6.94 Li.upf
Te 127.60 Te.upf
Zn 65.41 Zn.upf
ATOMIC_POSITIONS crystal
Li 0.250 0.250 0.250
Te 0.979 0.979 0.985
Te 0.521 0.521 0.515
Zn 0.750 0.750 0.750
CELL_PARAMETERS angstrom
4.112 0.081 -0.036
2.570 3.211 -0.036
1.584 0.781 7.425
```

No. 5
Computed, not measured: a geometry-optimized Tb6PrNd12 structure at the GGA-PBE level of DFT. Values from VASP.

Values from the calculation:
V   663 Å³/cell
Space-group type   No. 148
DFT formation energy   0.13 eV/atom
Total moment   0.000 μB/cell
DOS(E_F)   30.9 states/eV per cell
Total DFT energy (no corrections)   -4.594 eV per atom

Structure (Quantum ESPRESSO input):
```
&SYSTEM
  ibrav = 0, nat = 19, ntyp = 3
/
ATOMIC_SPECIES
Tb 158.93 Tb.upf
Nd 144.24 Nd.upf
Pr 140.91 Pr.upf
ATOMIC_POSITIONS crystal
Tb 0.902 0.301 0.741
Tb 0.259 0.098 0.699
Tb 0.699 0.259 0.098
Tb 0.098 0.699 0.259
Tb 0.301 0.741 0.902
Tb 0.741 0.902 0.301
Nd 0.983 0.803 0.638
Nd 0.638 0.983 0.803
Nd 0.362 0.017 0.197
Nd 0.803 0.638 0.983
Nd 0.537 0.433 0.780
Nd 0.197 0.362 0.017
Nd 0.567 0.220 0.463
Nd 0.017 0.197 0.362
Nd 0.463 0.567 0.220
Nd 0.433 0.780 0.537
Nd 0.220 0.463 0.567
Nd 0.780 0.537 0.433
Pr 0.000 0.000 0.000
CELL_PARAMETERS angstrom
8.652 0.700 0.838
-0.620 8.658 0.838
-0.620 -0.723 8.668
```

No. 6
Computed, not measured: a geometry-optimized VNiAu3 structure at the GGA-PBE level of DFT. Values from VASP.

Values from the calculation:
V   114 Å³/cell
Space-group type   No. 221
DFT formation energy   1.25 eV/atom
Total moment   1.636 μB/cell
DOS(E_F)   10.0 states/eV per cell
Total DFT energy (no corrections)   -3.701 eV per atom

Structure (Quantum ESPRESSO input):
```
&SYSTEM
  ibrav = 0, nat = 5, ntyp = 3
/
ATOMIC_SPECIES
Au 196.97 Au.upf
V 50.94 V.upf
Ni 58.69 Ni.upf
ATOMIC_POSITIONS crystal
Au 0.500 0.000 0.000
Au 0.000 0.000 0.500
Au 0.000 0.500 0.000
V 0.000 0.000 0.000
Ni 0.500 0.500 0.500
CELL_PARAMETERS angstrom
4.845 0.000 0.000
0.000 4.845 0.000
0.000 0.000 4.845
```

No. 7
Computed, not measured: a geometry-optimized DyTh3Se6 structure at the GGA-PBE level of DFT. Values from VASP.

Values from the calculation:
V   553 Å³/cell
Raw formation energy   -1.646 eV/atom
Space-group type   No. 11
Total moment   0.000 μB/cell
DOS(E_F)   8.9 states/eV per cell
Total DFT energy (no corrections)   -6.422 eV per atom

Structure (Quantum ESPRESSO input):
```
&SYSTEM
  ibrav = 0, nat = 20, ntyp = 3
/
ATOMIC_SPECIES
Se 78.96 Se.upf
Th 232.04 Th.upf
Dy 162.50 Dy.upf
ATOMIC_POSITIONS crystal
Se 0.250 0.531 0.383
Se 0.750 0.799 0.765
Se 0.250 0.233 0.706
Se 0.250 0.573 0.897
Se 0.750 0.767 0.294
Se 0.750 0.469 0.617
Se 0.750 0.112 0.457
Se 0.250 0.888 0.543
Se 0.250 0.064 0.885
Se 0.250 0.201 0.235
Se 0.750 0.427 0.103
Se 0.750 0.936 0.115
Th 0.250 0.610 0.155
Th 0.250 0.832 0.945
Th 0.750 0.689 0.515
Th 0.250 0.311 0.485
Th 0.750 0.390 0.845
Th 0.750 0.168 0.055
Dy 0.250 0.962 0.306
Dy 0.750 0.038 0.694
CELL_PARAMETERS angstrom
-4.130 0.616 0.405
-1.279 -1.078 -11.390
-1.233 -11.008 4.167
```

No. 8
Computed, not measured: a geometry-optimized Cs2La2Ru structure at the GGA-PBE level of DFT. Values from VASP.

Values from the calculation:
V   441 Å³/cell
Space-group type   No. 127
DFT formation energy   0.27 eV/atom
Total moment   0.000 μB/cell
DOS(E_F)   9.5 states/eV per cell
Total DFT energy (no corrections)   -3.900 eV per atom

Structure (Quantum ESPRESSO input):
```
&SYSTEM
  ibrav = 0, nat = 10, ntyp = 3
/
ATOMIC_SPECIES
Ru 101.07 Ru.upf
Cs 132.91 Cs.upf
La 138.91 La.upf
ATOMIC_POSITIONS crystal
Ru 0.500 0.500 0.000
Ru 0.000 0.000 0.000
Cs 0.698 0.802 0.500
Cs 0.198 0.698 0.500
Cs 0.302 0.198 0.500
Cs 0.802 0.302 0.500
La 0.295 0.795 0.000
La 0.205 0.295 0.000
La 0.795 0.705 0.000
La 0.705 0.205 0.000
CELL_PARAMETERS angstrom
7.597 0.000 0.000
0.000 7.597 0.000
0.000 0.000 7.646
```

No. 9
Computed, not measured: a geometry-optimized Zr2Ag structure at the GGA-PBE level of DFT. Values from VASP.

Values from the calculation:
V   128 Å³/cell
Space-group type   No. 8
DFT formation energy   0.05 eV/atom
Total moment   0.000 μB/cell
DOS(E_F)   7.5 states/eV per cell
Total DFT energy (no corrections)   -6.600 eV per atom

Structure (Quantum ESPRESSO input):
```
&SYSTEM
  ibrav = 0, nat = 6, ntyp = 2
/
ATOMIC_SPECIES
Zr 91.22 Zr.upf
Ag 107.87 Ag.upf
ATOMIC_POSITIONS crystal
Zr 0.624 0.624 0.259
Zr 0.299 0.299 0.934
Zr 0.940 0.940 0.580
Zr 0.645 0.645 0.695
Ag 0.998 0.998 0.027
Ag 0.327 0.327 0.338
CELL_PARAMETERS angstrom
-3.654 -4.392 -1.408
-1.903 -5.477 1.005
-5.960 0.425 4.516
```

No. 10
Computed, not measured: a geometry-optimized TaFe3 structure at the GGA-PBE level of DFT. Values from VASP.

Values from the calculation:
V   54 Å³/cell
Space-group type   No. 187
DFT formation energy   0.32 eV/atom
Total moment   6.468 μB/cell
DOS(E_F)   5.6 states/eV per cell
Total DFT energy (no corrections)   -8.994 eV per atom

Structure (Quantum ESPRESSO input):
```
&SYSTEM
  ibrav = 0, nat = 4, ntyp = 2
/
ATOMIC_SPECIES
Fe 55.84 Fe.upf
Ta 180.95 Ta.upf
ATOMIC_POSITIONS crystal
Fe 0.000 0.000 0.021
Fe 0.000 0.000 0.479
Fe 0.333 0.667 0.250
Ta 0.333 0.667 0.750
CELL_PARAMETERS angstrom
-1.133 1.519 -1.997
1.165 -2.420 -0.604
-7.242 -3.792 1.225
```

No. 11
Computed, not measured: a geometry-optimized Pr3Te2S2 structure at the GGA-PBE level of DFT. Values from VASP.

Values from the calculation:
V   233 Å³/cell
Raw formation energy   -1.652 eV/atom
Space-group type   No. 12
Total moment   0.000 μB/cell
DOS(E_F)   1.6 states/eV per cell
Total DFT energy (no corrections)   -5.777 eV per atom

Structure (Quantum ESPRESSO input):
```
&SYSTEM
  ibrav = 0, nat = 7, ntyp = 3
/
ATOMIC_SPECIES
Pr 140.91 Pr.upf
S 32.06 S.upf
Te 127.60 Te.upf
ATOMIC_POSITIONS crystal
Pr 0.822 0.271 0.643
Pr 0.178 0.729 0.357
Pr 0.000 0.000 0.000
S 0.430 0.227 0.859
S 0.570 0.773 0.141
Te 0.822 0.763 0.644
Te 0.178 0.237 0.356
CELL_PARAMETERS angstrom
4.024 0.000 -1.081
-0.184 6.467 -0.686
0.225 0.199 8.868
```

No. 12
Computed, not measured: a geometry-optimized Hf2Al2Tl structure at the GGA-PBE level of DFT. Values from VASP.

Values from the calculation:
V   215 Å³/cell
Space-group type   No. 127
DFT formation energy   0.04 eV/atom
Total moment   0.000 μB/cell
DOS(E_F)   7.3 states/eV per cell
Total DFT energy (no corrections)   -5.908 eV per atom

Structure (Quantum ESPRESSO input):
```
&SYSTEM
  ibrav = 0, nat = 10, ntyp = 3
/
ATOMIC_SPECIES
Al 26.98 Al.upf
Hf 178.49 Hf.upf
Tl 204.38 Tl.upf
ATOMIC_POSITIONS crystal
Al 0.170 0.670 0.500
Al 0.330 0.170 0.500
Al 0.670 0.830 0.500
Al 0.830 0.330 0.500
Hf 0.129 0.371 0.000
Hf 0.629 0.129 0.000
Hf 0.371 0.871 0.000
Hf 0.871 0.629 0.000
Tl 0.000 0.000 0.000
Tl 0.500 0.500 0.000
CELL_PARAMETERS angstrom
-0.933 6.987 4.068
-7.701 0.480 -2.589
-0.982 -1.654 2.615
```

No. 13
Computed, not measured: a geometry-optimized Tb4GeSb2 structure at the GGA-PBE level of DFT. Values from VASP.

Values from the calculation:
V   194 Å³/cell
Raw formation energy   -0.847 eV/atom
Space-group type   No. 12
Total moment   0.000 μB/cell
DOS(E_F)   6.1 states/eV per cell
Total DFT energy (no corrections)   -5.330 eV per atom

Structure (Quantum ESPRESSO input):
```
&SYSTEM
  ibrav = 0, nat = 7, ntyp = 3
/
ATOMIC_SPECIES
Tb 158.93 Tb.upf
Sb 121.76 Sb.upf
Ge 72.64 Ge.upf
ATOMIC_POSITIONS crystal
Tb 0.084 0.797 0.168
Tb 0.328 0.726 0.655
Tb 0.916 0.203 0.832
Tb 0.672 0.274 0.345
Sb 0.351 0.375 0.702
Sb 0.649 0.625 0.298
Ge 0.000 0.000 0.000
CELL_PARAMETERS angstrom
4.414 0.000 0.000
0.000 8.483 -1.044
-2.207 -5.169 5.825
```

No. 14
Computed, not measured: a geometry-optimized KVHg2S4 structure at the GGA-PBE level of DFT. Values from VASP.

Values from the calculation:
V   212 Å³/cell
Raw formation energy   -0.550 eV/atom
Space-group type   No. 42
Total moment   0.000 μB/cell
DOS(E_F)   1.6 states/eV per cell
Total DFT energy (no corrections)   -3.966 eV per atom

Structure (Quantum ESPRESSO input):
```
&SYSTEM
  ibrav = 0, nat = 8, ntyp = 4
/
ATOMIC_SPECIES
K 39.10 K.upf
S 32.06 S.upf
Hg 200.59 Hg.upf
V 50.94 V.upf
ATOMIC_POSITIONS crystal
K 0.987 0.987 0.974
S 0.456 0.804 0.260
S 0.804 0.456 0.260
S 0.516 0.516 0.665
S 0.149 0.149 0.665
Hg 0.801 0.301 0.602
Hg 0.301 0.801 0.602
V 0.486 0.486 0.972
CELL_PARAMETERS angstrom
-4.163 -2.155 5.475
5.861 -0.610 4.150
-1.290 5.262 -3.620
```